Density functional theory data (PBE) for a relaxed DyAl8Rh4 crystal.

a = 5.472 Å, b = 6.718 Å, c = 6.718 Å
α = 80.45°, β = 65.97°, γ = 65.97°
Fractional positions:
Dy 0.000 0.000 0.000
Al 0.000 0.343 0.657
Al 0.000 0.657 0.343
Al 0.343 0.657 0.657
Al 0.657 0.343 0.343
Al 0.500 0.775 0.225
Al 0.500 0.225 0.775
Al 0.275 0.225 0.225
Al 0.725 0.775 0.775
Rh 0.000 0.000 0.500
Rh 0.500 0.000 0.500
Rh 0.000 0.500 0.000
Rh 0.500 0.500 0.000

Energy relative to the elements = -0.8119 eV per atom
E_tot = -74.50 eV/cell